{
  "formula": "ZrMn2SiC",
  "functional": "PBE",
  "state": "relaxed",
  "cell": [[1.762, -5.219, 0.000], [1.762, 5.219, 0.000], [0.000, 0.000, 6.901]],
  "species": ["Zr", "Zr", "Mn", "Mn", "Mn", "Mn", "Si", "Si", "C", "C"],
  "frac_coords": [[0.042, 0.958, 0.750], [0.958, 0.042, 0.250], [0.331, 0.669, 0.559], [0.331, 0.669, 0.941], [0.669, 0.331, 0.059], [0.669, 0.331, 0.441], [0.237, 0.763, 0.250], [0.763, 0.237, 0.750], [0.500, 0.500, 0.000], [0.500, 0.500, 0.500]],
  "dos_at_fermi_per_ev_cell": 5.822,
  "energy_ev_per_atom": -8.812,
  "sg": "Cmcm (63)",
  "mass_density_g_cm3": 6.31,
  "e_form_raw_mev_per_atom": -505
}